(1)
This record from Alexandria via LeMat-Bulk describes a relaxed structure of Sr2Hf2Ru. The functional is GGA-PBEsol.

Cell: 3.8347 3.8347 8.7725 Å, 102.62 102.62 90.00°
Sites, in units of the cell vectors:
Ru1 0.0000 0.0000 0.0000
Hf1 0.4235 0.4235 0.8470
Hf2 0.5765 0.5765 0.1530
Sr1 0.2500 0.7500 0.5000
Sr2 0.7500 0.2500 0.5000

Properties
ρ: 8.572 g cm⁻³
crystal system: tetragonal
SG: I4/mmm
ΔH_f (0 K): 1.260 eV per atom

***

(2)
This record from Alexandria via LeMat-Bulk describes a relaxed structure of HfTaRu2. The functional is GGA-PBEsol.

Cell: 4.4770 4.4770 4.4770 Å, 60.00 60.00 60.00°
Sites, in units of the cell vectors:
Ru1 0.2500 0.2500 0.2500
Ru2 0.7500 0.7500 0.7500
Hf1 0.0000 0.0000 0.0000
Ta1 0.5000 0.5000 0.5000

Properties
ρ: 14.697 g cm⁻³
crystal system: cubic
SG: Fm-3m
ΔH_f (0 K): -0.523 eV per atom

***

(3)
This record from Alexandria via LeMat-Bulk describes a relaxed structure of HfTaRuW2. The functional is GGA-PBEsol.

Cell: 4.6510 4.6739 4.6739 Å, 90.00 90.00 90.00°
Sites, in units of the cell vectors:
Ru1 0.0000 0.0000 0.0000
Hf1 0.5000 0.5000 0.5000
W1 0.0000 0.0000 0.5000
W2 0.0000 0.5000 0.0000
Ta1 0.5000 0.0000 0.0000

Properties
ρ: 13.535 g cm⁻³
crystal system: tetragonal
SG: P4/mmm
ΔH_f (0 K): 1.404 eV per atom

***

(4)
This record from Alexandria via LeMat-Bulk describes a relaxed structure of HfZrTa2Ru. The functional is GGA-PBEsol.

Cell: 4.6158 4.8090 4.8090 Å, 90.00 90.00 90.00°
Sites, in units of the cell vectors:
Ru1 0.5000 0.0000 0.0000
Hf1 0.5000 0.5000 0.5000
Zr1 0.0000 0.0000 0.0000
Ta1 0.0000 0.0000 0.5000
Ta2 0.0000 0.5000 0.0000

Properties
ρ: 11.397 g cm⁻³
crystal system: tetragonal
SG: P4/mmm
ΔH_f (0 K): 1.538 eV per atom

***

(5)
This record from Alexandria via LeMat-Bulk describes a relaxed structure of Hf2TcRu. The functional is GGA-PBEsol.

Cell: 4.5335 4.5335 4.5335 Å, 60.00 60.00 60.00°
Sites, in units of the cell vectors:
Ru1 0.5000 0.5000 0.5000
Hf1 0.2500 0.2500 0.2500
Hf2 0.7500 0.7500 0.7500
Tc1 0.0000 0.0000 0.0000

Properties
ρ: 14.014 g cm⁻³
crystal system: cubic
SG: Fm-3m
ΔH_f (0 K): -0.643 eV per atom

***

(6)
This record from Alexandria via LeMat-Bulk describes a relaxed structure of HfTe3Ru. The functional is GGA-PBEsol.

Cell: 5.0654 5.0654 5.0654 Å, 90.00 90.00 90.00°
Sites, in units of the cell vectors:
Ru1 0.0000 0.0000 0.0000
Te1 0.0000 0.5000 0.0000
Te2 0.0000 0.0000 0.5000
Te3 0.5000 0.0000 0.0000
Hf1 0.5000 0.5000 0.5000

Properties
ρ: 8.462 g cm⁻³
crystal system: cubic
energy relative to the elements, uncorrected: 2.99 eV per formula unit
SG: Pm-3m

***

(7)
This record from Alexandria via LeMat-Bulk describes a relaxed structure of HfTiRu2. The functional is GGA-PBEsol.

Cell: 3.1240 3.1240 6.2511 Å, 90.00 90.00 90.00°
Sites, in units of the cell vectors:
Ru1 0.5000 0.5000 0.2608
Ru2 0.5000 0.5000 0.7392
Hf1 0.0000 0.0000 0.0000
Ti1 0.0000 0.0000 0.5000

Properties
ρ: 11.663 g cm⁻³
crystal system: tetragonal
SG: P4/mmm
ΔH_f (0 K): -0.736 eV per atom

***

(8)
This record from Alexandria via LeMat-Bulk describes a relaxed structure of YHfTiRu2. The functional is GGA-PBEsol.

Cell: 4.6763 4.6763 5.1257 Å, 90.00 90.00 90.00°
Sites, in units of the cell vectors:
Y1 0.0000 0.0000 0.5000
Ru1 0.0000 0.5000 0.0000
Ru2 0.5000 0.0000 0.0000
Hf1 0.0000 0.0000 0.0000
Ti1 0.5000 0.5000 0.5000

Properties
ρ: 7.665 g cm⁻³
crystal system: tetragonal
SG: P4/mmm
ΔH_f (0 K): 1.296 eV per atom